Material: PH6PbCBr3
Method: DFT, GGA-PBE
State: relaxed

Computed properties:
The magnetic moment is 0.000 μB/cell. The calculation puts the volume at 21.41 A^3/atom. The density of states at the Fermi level comes out at 0.000 states/eV/f.u. As for the energy above the most stable polymorph in this dataset: 0.0 kJ per mole of atoms.

Geometry as POSCAR:
```
PH6PbCBr3
1.0
-8.614 0.710 -0.690
0.150 -4.467 6.316
9.969 11.431 10.244
Br Pb C P H
12 4 4 4 24
direct
0.670 0.195 0.187
0.339 0.804 0.826
0.348 0.609 0.335
0.660 0.389 0.677
0.340 0.672 0.105
0.661 0.350 0.906
0.664 0.137 0.413
0.341 0.878 0.597
0.180 0.136 0.180
0.828 0.889 0.840
0.831 0.694 0.342
0.173 0.331 0.676
0.508 0.414 0.257
0.501 0.599 0.749
0.503 0.912 0.256
0.501 0.099 0.752
0.844 0.652 0.126
0.838 0.855 0.625
0.153 0.298 0.453
0.189 0.254 0.969
0.842 0.753 0.033
0.837 0.726 0.549
0.170 0.168 0.382
0.165 0.269 0.865
0.986 0.652 0.181
0.765 0.726 0.141
0.781 0.518 0.112
0.929 0.924 0.052
0.940 0.663 0.011
0.661 0.764 0.961
0.972 0.851 0.686
0.816 0.990 0.597
0.728 0.802 0.635
0.961 0.802 0.525
0.895 0.559 0.586
0.661 0.699 0.473
0.250 0.257 0.520
0.187 0.435 0.441
0.013 0.278 0.439
0.353 0.165 0.404
0.101 0.994 0.385
0.066 0.229 0.295
0.328 0.221 0.019
0.168 0.381 0.982
0.087 0.154 0.968
0.290 0.403 0.863
0.206 0.112 0.848
0.986 0.305 0.797
```

---

Material: PH6PbCBr3
Method: DFT, GGA-PBE
State: relaxed

Computed properties:
The magnetic moment is 0.000 μB/cell. The calculation puts the volume at 19.44 A^3/atom. The density of states at the Fermi level comes out at 0.000 states/eV/f.u. As for the energy above the most stable polymorph in this dataset: 0.2 kJ per mole of atoms.

Geometry as POSCAR:
```
PH6PbCBr3
1.0
6.135 0.000 -0.014
0.001 6.200 -0.043
0.014 -0.544 6.136
Pb Br C P H
1 3 1 1 6
direct
0.505 0.490 0.502
0.505 0.026 0.454
0.005 0.533 0.498
0.505 0.494 0.992
0.005 0.095 0.910
0.005 0.898 0.105
0.152 0.196 0.933
0.858 0.197 0.934
0.005 0.010 0.746
0.192 0.764 0.078
0.818 0.764 0.078
0.005 0.001 0.318
```

---

Material: PH6PbCBr3
Method: DFT, GGA-PBE
State: relaxed

Computed properties:
The magnetic moment is 0.000 μB/cell. The calculation puts the volume at 19.08 A^3/atom. The density of states at the Fermi level comes out at 0.000 states/eV/f.u. As for the energy above the most stable polymorph in this dataset: 0.3 kJ per mole of atoms.

Geometry as POSCAR:
```
PH6PbCBr3
1.0
8.671 -0.036 -0.013
0.017 6.097 0.034
-0.010 -0.050 8.662
Pb Br C P H
2 6 2 2 12
direct
0.494 0.999 0.998
0.988 0.001 0.490
0.467 0.504 0.992
0.020 0.501 0.511
0.767 0.001 0.779
0.225 0.002 0.241
0.720 0.001 0.271
0.260 0.002 0.730
0.958 0.501 0.102
0.609 0.501 0.520
0.995 0.501 0.899
0.404 0.502 0.501
0.068 0.501 0.164
0.892 0.649 0.132
0.892 0.353 0.132
0.080 0.689 0.855
0.080 0.315 0.855
0.855 0.501 0.817
0.662 0.501 0.406
0.644 0.648 0.585
0.643 0.353 0.584
0.353 0.689 0.419
0.352 0.315 0.419
0.337 0.502 0.648
```

---

Material: PH6PbCBr3
Method: DFT, GGA-PBE
State: relaxed

Computed properties:
The magnetic moment is 0.000 μB/cell. The calculation puts the volume at 20.61 A^3/atom. The density of states at the Fermi level comes out at 0.000 states/eV/f.u. As for the energy above the most stable polymorph in this dataset: 1.0 kJ per mole of atoms.

Geometry as POSCAR:
```
PH6PbCBr3
1.0
4.703 0.000 0.000
0.000 10.572 -0.046
0.000 -0.016 19.896
Pb Br C P H
4 12 4 4 24
direct
0.250 0.186 0.919
0.750 0.861 0.027
0.250 0.642 0.524
0.750 0.321 0.421
0.750 0.344 0.972
0.250 0.704 0.979
0.750 0.794 0.472
0.250 0.155 0.468
0.250 0.051 0.071
0.750 0.997 0.886
0.250 0.505 0.386
0.750 0.459 0.572
0.250 0.304 0.789
0.750 0.725 0.157
0.250 0.792 0.653
0.750 0.221 0.286
0.750 0.048 0.705
0.250 0.888 0.321
0.750 0.600 0.829
0.250 0.454 0.204
0.750 0.045 0.615
0.250 0.950 0.237
0.750 0.551 0.743
0.250 0.442 0.115
0.940 0.999 0.723
0.750 0.147 0.723
0.560 0.999 0.723
0.986 0.110 0.588
0.750 0.923 0.586
0.514 0.110 0.588
0.440 0.830 0.329
0.250 0.968 0.357
0.060 0.830 0.329
0.488 0.030 0.229
0.250 0.853 0.189
0.012 0.030 0.229
0.939 0.563 0.855
0.750 0.704 0.832
0.561 0.563 0.855
0.987 0.603 0.709
0.750 0.419 0.737
0.513 0.603 0.709
0.439 0.406 0.224
0.250 0.554 0.218
0.061 0.406 0.224
0.488 0.502 0.086
0.250 0.314 0.093
0.012 0.502 0.086
```

---

Material: H5PbCSBr3
Method: DFT, GGA-PBE
State: relaxed

Computed properties:
The magnetic moment is 0.000 μB/cell. The calculation puts the volume at 21.95 A^3/atom. The density of states at the Fermi level comes out at 0.000 states/eV/f.u. As for the energy above the most stable polymorph in this dataset: 0.0 kJ per mole of atoms.

Geometry as POSCAR:
```
H5PbCSBr3
1.0
4.615 0.003 0.013
-0.110 10.633 0.012
-0.019 0.129 19.678
Pb Br C S H
4 12 4 4 20
direct
0.298 0.181 0.924
0.771 0.864 0.042
0.254 0.635 0.539
0.758 0.314 0.431
0.835 0.356 0.978
0.276 0.706 0.997
0.755 0.790 0.482
0.260 0.138 0.489
0.288 0.065 0.080
0.815 0.999 0.893
0.265 0.490 0.395
0.745 0.450 0.579
0.263 0.297 0.792
0.745 0.749 0.177
0.267 0.759 0.672
0.728 0.204 0.297
0.754 0.115 0.672
0.263 0.886 0.332
0.773 0.620 0.832
0.152 0.430 0.185
0.762 0.990 0.609
0.251 0.965 0.250
0.772 0.544 0.750
0.371 0.407 0.109
0.949 0.106 0.703
0.747 0.207 0.647
0.563 0.099 0.704
0.973 0.043 0.566
0.547 0.037 0.566
0.389 0.800 0.325
0.375 0.949 0.367
0.045 0.863 0.350
0.047 0.883 0.219
0.048 0.056 0.267
0.884 0.557 0.867
0.894 0.708 0.826
0.552 0.638 0.849
0.570 0.448 0.765
0.571 0.623 0.717
0.299 0.421 0.228
0.067 0.526 0.182
0.979 0.359 0.189
0.376 0.276 0.109
0.153 0.405 0.059
```

---

Material: H5PbCSBr3
Method: DFT, GGA-PBE
State: relaxed

Computed properties:
The magnetic moment is 0.000 μB/cell. The calculation puts the volume at 20.62 A^3/atom. The density of states at the Fermi level comes out at 0.000 states/eV/f.u. As for the energy above the most stable polymorph in this dataset: 0.3 kJ per mole of atoms.

Geometry as POSCAR:
```
H5PbCSBr3
1.0
-5.103 -2.187 2.361
-1.617 -2.125 -5.465
2.990 -5.166 1.677
Pb Br C S H
1 3 1 1 5
direct
0.504 0.498 0.508
0.504 0.020 0.479
0.004 0.512 0.501
0.504 0.542 0.999
0.005 0.066 0.918
0.005 0.895 0.145
0.154 0.169 0.935
0.856 0.170 0.936
0.004 0.964 0.765
0.174 0.752 0.076
0.835 0.752 0.076
```

---

Material: H5PbCSBr3
Method: DFT, GGA-PBE
State: relaxed

Computed properties:
The magnetic moment is 0.000 μB/cell. The calculation puts the volume at 21.03 A^3/atom. The density of states at the Fermi level comes out at 0.000 states/eV/f.u. As for the energy above the most stable polymorph in this dataset: 0.0 kJ per mole of atoms.

Geometry as POSCAR:
```
H5PbCSBr3
1.0
4.567 -0.002 -0.003
-2.389 8.779 0.029
-0.146 -0.146 11.542
Pb Br C S H
2 6 2 2 10
direct
0.007 0.038 0.708
0.992 0.963 0.216
0.392 0.821 0.649
0.590 0.168 0.148
0.353 0.725 0.267
0.624 0.259 0.768
0.934 0.863 0.953
0.061 0.134 0.453
0.235 0.462 0.993
0.737 0.525 0.506
0.281 0.570 0.860
0.696 0.425 0.368
0.393 0.390 0.990
0.279 0.539 0.068
0.003 0.388 0.992
0.552 0.678 0.891
0.122 0.676 0.892
0.977 0.570 0.530
0.628 0.618 0.497
0.619 0.443 0.570
0.948 0.520 0.316
0.840 0.312 0.398
```

---

Material: H5PbCSBr3
Method: DFT, GGA-PBE
State: relaxed

Computed properties:
The magnetic moment is 0.000 μB/cell. The calculation puts the volume at 23.05 A^3/atom. The density of states at the Fermi level comes out at 0.000 states/eV/f.u. As for the energy above the most stable polymorph in this dataset: 0.3 kJ per mole of atoms.

Geometry as POSCAR:
```
H5PbCSBr3
1.0
8.587 -0.265 0.156
-0.820 7.744 -0.031
-7.238 0.093 15.167
Br Pb C S H
12 4 4 4 20
direct
0.675 0.185 0.179
0.366 0.810 0.853
0.362 0.619 0.354
0.691 0.381 0.681
0.396 0.649 0.117
0.668 0.367 0.925
0.669 0.160 0.423
0.381 0.846 0.617
0.216 0.161 0.201
0.835 0.902 0.847
0.838 0.748 0.355
0.211 0.314 0.699
0.535 0.422 0.271
0.521 0.589 0.762
0.510 0.921 0.264
0.511 0.087 0.766
0.934 0.713 0.122
0.915 0.846 0.622
0.237 0.204 0.459
0.255 0.234 0.963
0.733 0.767 0.037
0.709 0.763 0.536
0.044 0.220 0.360
0.081 0.332 0.878
0.003 0.643 0.095
0.010 0.835 0.153
0.900 0.633 0.169
0.794 0.836 0.976
0.681 0.605 0.993
0.018 0.775 0.624
0.940 0.983 0.608
0.899 0.834 0.684
0.766 0.738 0.471
0.705 0.594 0.563
0.295 0.088 0.458
0.326 0.322 0.462
0.200 0.202 0.514
0.110 0.194 0.298
0.967 0.051 0.355
0.267 0.108 0.940
0.373 0.323 0.978
0.223 0.219 0.020
0.131 0.321 0.808
0.964 0.181 0.853
```

---

Material: Pm4HCBr2
Method: DFT, GGA-PBE
State: relaxed

Computed properties:
The magnetic moment is 0.000 μB/cell. The calculation puts the volume at 22.82 A^3/atom. The density of states at the Fermi level comes out at 3.633 states/eV/f.u. Its total DFT energy (no corrections) is -5.161 eV/atom.

Geometry as POSCAR:
```
Pm4HCBr2
1.0
-0.755 -3.552 1.103
-1.205 -1.676 -6.219
7.433 -1.268 1.003
Pm H C Br
4 1 1 2
direct
0.500 0.243 0.191
0.500 0.757 0.809
0.000 0.277 0.820
0.000 0.723 0.180
0.000 0.000 0.000
0.500 0.500 0.000
0.500 0.000 0.500
0.000 0.500 0.500
```

---

Material: Pm8HC3Br3
Method: DFT, GGA-PBE
State: relaxed

Computed properties:
The magnetic moment is 0.000 μB/cell. The calculation puts the volume at 23.74 A^3/atom. The density of states at the Fermi level comes out at 9.699 states/eV/f.u. Its total DFT energy (no corrections) is -5.630 eV/atom.

Geometry as POSCAR:
```
Pm8HC3Br3
1.0
7.581 -0.001 0.000
-3.791 6.566 -0.027
0.001 -4.351 7.174
Pm H C Br
8 1 3 3
direct
0.271 0.542 0.313
0.729 0.458 0.687
0.755 0.511 0.302
0.245 0.489 0.698
0.755 0.046 0.302
0.245 0.954 0.698
0.291 0.047 0.302
0.709 0.953 0.698
0.000 0.000 0.500
0.500 0.000 0.500
0.500 0.500 0.500
0.000 0.500 0.500
0.000 0.000 0.000
0.000 0.500 0.000
0.500 0.500 0.000
```

---

Material: Pr8HC3Br3
Method: DFT, GGA-PBE
State: relaxed

Computed properties:
The magnetic moment is 0.001 μB/cell. The calculation puts the volume at 25.08 A^3/atom. The density of states at the Fermi level comes out at 10.415 states/eV/f.u. Its total DFT energy (no corrections) is -5.611 eV/atom.

Geometry as POSCAR:
```
Pr8HC3Br3
1.0
7.694 -0.002 0.000
-3.849 6.667 -0.029
0.001 -4.417 7.354
Pr H C Br
8 1 3 3
direct
0.270 0.541 0.311
0.730 0.459 0.689
0.756 0.512 0.303
0.244 0.488 0.697
0.756 0.046 0.303
0.244 0.954 0.697
0.290 0.047 0.303
0.710 0.953 0.697
0.000 0.000 0.500
0.500 0.000 0.500
0.500 0.500 0.500
0.000 0.500 0.500
0.000 0.000 0.000
0.000 0.500 0.000
0.500 0.500 0.000
```

---

Material: Rb2HCBr6
Method: DFT, GGA-PBE
State: relaxed

Computed properties:
The magnetic moment is 0.000 μB/cell. The calculation puts the volume at 27.75 A^3/atom. The density of states at the Fermi level comes out at 4.419 states/eV/f.u. Its total DFT energy (no corrections) is -2.522 eV/atom.

Geometry as POSCAR:
```
Rb2HCBr6
1.0
-3.381 5.398 -1.885
-5.511 -2.494 2.743
-3.005 4.255 5.872
H C Br Rb
1 1 6 2
direct
0.500 0.500 0.000
0.000 0.000 0.000
0.200 0.200 0.599
0.800 0.800 0.401
0.255 0.255 0.000
0.745 0.745 0.000
0.745 0.255 0.000
0.255 0.745 0.000
0.750 0.250 0.500
0.250 0.750 0.500
```

---

Q: Which of these has the lowest volume?
A: number 3

---

What did the seventh record say?
Material: H5PbCSBr3
Method: DFT, GGA-PBE
State: relaxed

Computed properties:
The magnetic moment is 0.000 μB/cell. The calculation puts the volume at 21.03 A^3/atom. The density of states at the Fermi level comes out at 0.000 states/eV/f.u. As for the energy above the most stable polymorph in this dataset: 0.0 kJ per mole of atoms.

Geometry as POSCAR:
```
H5PbCSBr3
1.0
4.567 -0.002 -0.003
-2.389 8.779 0.029
-0.146 -0.146 11.542
Pb Br C S H
2 6 2 2 10
direct
0.007 0.038 0.708
0.992 0.963 0.216
0.392 0.821 0.649
0.590 0.168 0.148
0.353 0.725 0.267
0.624 0.259 0.768
0.934 0.863 0.953
0.061 0.134 0.453
0.235 0.462 0.993
0.737 0.525 0.506
0.281 0.570 0.860
0.696 0.425 0.368
0.393 0.390 0.990
0.279 0.539 0.068
0.003 0.388 0.992
0.552 0.678 0.891
0.122 0.676 0.892
0.977 0.570 0.530
0.628 0.618 0.497
0.619 0.443 0.570
0.948 0.520 0.316
0.840 0.312 0.398
```

---

Q: Look up the magnetic moment of the tenth one.
A: 0.000 μB/cell